Record 1
This record from Alexandria via LeMat-Bulk describes an optimized crystal structure of Li6MnAlO6. The functional is GGA+U.

abc: 5.3599 5.3599 9.8053
angles: 88.73 88.73 117.14
Site moments in Bohr magnetons follow the coordinates.
Fractional positions:
Li 0.3170 0.9409 0.9220  0.00
Li 0.3821 0.0683 0.4191  0.00
Li 0.6851 0.6259 0.4268  0.00
Li 0.6179 0.9317 0.5809  0.00
Li 0.6259 0.6851 0.9268  0.00
Li 0.6830 0.0591 0.0780  0.00
Li 0.9317 0.6179 0.0809  0.00
Li 0.0683 0.3821 0.9191  0.00
Li 0.9409 0.3170 0.4220  0.00
Li 0.0591 0.6830 0.5780  0.00
Li 0.3149 0.3741 0.5732  0.00
Li 0.3741 0.3149 0.0732  0.00
Mn 0.9972 0.0028 0.7500  3.90
Mn 0.0028 0.9972 0.2500  3.90
Al 0.3393 0.6607 0.2500  0.01
Al 0.6607 0.3393 0.7500  0.01
O 0.3361 0.0432 0.6379  -0.02
O 0.2825 0.9377 0.1332  -0.04
O 0.6875 0.6276 0.6279  0.04
O 0.7175 0.0623 0.8668  -0.04
O 0.6639 0.9568 0.3621  -0.02
O 0.6276 0.6875 0.1279  0.04
O 0.0432 0.3361 0.1379  -0.02
O 0.0623 0.7175 0.3668  -0.04
O 0.9377 0.2825 0.6332  -0.04
O 0.9568 0.6639 0.8621  -0.02
O 0.3724 0.3125 0.8721  0.04
O 0.3125 0.3724 0.3721  0.04

Properties
Calculated total energy in eV per cell: -160.70
Space-group type: No. 15
Total magnetization in μB/atom: 0.286



Record 2
This record from Alexandria via LeMat-Bulk describes an optimized crystal structure of Cd2MoO4. The functional is GGA+U.

abc: 4.1056 4.1056 6.4322
angles: 71.39 71.39 90.00
Site moments in Bohr magnetons follow the coordinates.
Fractional positions:
Mo 0.0000 0.0000 0.0000  1.65
O 0.1724 0.1724 0.6552  -0.02
O 0.8276 0.8276 0.3448  -0.02
O 0.0000 0.5000 0.0000  0.00
O 0.5000 0.0000 0.0000  0.00
Cd 0.3580 0.3580 0.2840  0.01
Cd 0.6420 0.6420 0.7160  0.01

Properties
Calculated total energy in eV per cell: -36.25
Space-group type: No. 139
Total magnetization in μB/atom: 0.244



What did the second record say?
This record from Alexandria via LeMat-Bulk describes an optimized crystal structure of Cd2MoO4. The functional is GGA+U.

abc: 4.1056 4.1056 6.4322
angles: 71.39 71.39 90.00
Site moments in Bohr magnetons follow the coordinates.
Fractional positions:
Mo 0.0000 0.0000 0.0000  1.65
O 0.1724 0.1724 0.6552  -0.02
O 0.8276 0.8276 0.3448  -0.02
O 0.0000 0.5000 0.0000  0.00
O 0.5000 0.0000 0.0000  0.00
Cd 0.3580 0.3580 0.2840  0.01
Cd 0.6420 0.6420 0.7160  0.01

Properties
Calculated total energy in eV per cell: -36.25
Space-group type: No. 139
Total magnetization in μB/atom: 0.244